# 1
Density functional theory data (PBE) for a relaxed LiMg8Pd2 crystal.

a b c (Å): 8.090 11.829 5.106
angles (deg): 90.00 105.46 90.00
Space group C2/m (No. 12)
Unique sites:
Li 0.000 0.000 0.000 (multiplicity 2)
Mg 0.000 0.248 0.000 (multiplicity 4)
Mg 0.118 0.500 0.808 (multiplicity 4)
Mg 0.196 0.128 0.587 (multiplicity 8)
Pd 0.000 0.315 0.500 (multiplicity 4)

Properties
The value obtained for the magnetic moment is 0.000 μB/cell. As for the calculated formation energy: -2.76 eV per formula unit.

---

# 2
Density functional theory data (PBE) for a relaxed Sr3Ir crystal.

a b c (Å): 3.757 3.757 10.538
angles (deg): 90.00 90.00 90.00
Space group P4/mmm (No. 123)
Unique sites:
Sr 0.000 0.000 0.000 (multiplicity 1)
Sr 0.500 0.500 0.340 (multiplicity 2)
Ir 0.000 0.000 0.500 (multiplicity 1)

Properties
The value obtained for the magnetic moment is 0.000 μB/cell. As for the calculated formation energy: 0.02 eV per formula unit.

---

# 3
Density functional theory data (PBE) for a relaxed PrHoZr crystal.

a b c (Å): 3.4550 3.4550 8.5256
angles (deg): 90.00 90.00 120.00
Space group P3m1 (No. 156)
Unique sites:
Pr 0.0000 0.0000 0.0000 (multiplicity 1)
Ho 0.3333 0.6667 0.6273 (multiplicity 1)
Zr 0.6667 0.3333 0.3209 (multiplicity 1)

Properties
The value obtained for the magnetic moment is 0.000 μB/cell. As for the calculated formation energy: 0.36 eV per formula unit.

---

# 4
Density functional theory data (PBE) for a relaxed K2MnIr crystal.

a b c (Å): 2.906 2.906 11.409
angles (deg): 90.00 90.00 90.00
Space group P4/mmm (No. 123)
Unique sites:
K 0.000 0.000 0.221 (multiplicity 2)
Mn 0.500 0.500 0.500 (multiplicity 1)
Ir 0.500 0.500 0.000 (multiplicity 1)

Properties
The value obtained for the magnetic moment is 4.085 μB/cell. As for the calculated formation energy: 4.29 eV per formula unit.